{"formula": "Th2MgIn2", "functional": "PBE-GGA", "state": "optimized geometry", "lattice": [[4.641, 0.000, 1.093], [2.202, 5.923, 1.048], [0.029, -0.014, 10.277]], "species": ["Th", "Th", "Th", "Th", "In", "In", "In", "In", "Mg", "Mg"], "frac_coords": [[0.686, 0.725, 0.904], [0.314, 0.275, 0.096], [0.497, 0.328, 0.678], [0.503, 0.672, 0.322], [0.139, 0.294, 0.428], [0.976, 0.164, 0.884], [0.861, 0.706, 0.572], [0.024, 0.836, 0.116], [0.781, 0.084, 0.354], [0.219, 0.916, 0.646]], "vol_a3_per_atom": 28.2, "spacegroup": "C2/m", "formation_enthalpy_0k_mev_per_atom": -223, "total_magnetization_mub_per_cell": 0.00}



{"formula": "Th3MgIn12", "functional": "PBE-GGA", "state": "optimized geometry", "lattice": [[4.703, 0.000, 0.000], [0.000, 4.703, 0.000], [0.000, 0.000, 18.939]], "species": ["In", "In", "In", "In", "In", "In", "In", "In", "In", "In", "In", "In", "Th", "Th", "Th", "Mg"], "frac_coords": [[0.500, 0.000, 0.373], [0.500, 0.500, 0.500], [0.500, 0.500, 0.751], [0.500, 0.000, 0.118], [0.000, 0.500, 0.118], [0.500, 0.500, 0.249], [0.500, 0.000, 0.627], [0.000, 0.500, 0.373], [0.000, 0.500, 0.627], [0.500, 0.500, 0.000], [0.000, 0.500, 0.882], [0.500, 0.000, 0.882], [0.000, 0.000, 0.500], [0.000, 0.000, 0.248], [0.000, 0.000, 0.752], [0.000, 0.000, 0.000]], "vol_a3_per_atom": 26.2, "spacegroup": "P4/mmm", "formation_enthalpy_0k_mev_per_atom": -251, "total_magnetization_mub_per_cell": 0.00}



{"formula": "ThMg4In2", "functional": "PBE-GGA", "state": "optimized geometry", "lattice": [[3.816, 0.000, -0.957], [-0.240, 3.808, -0.957], [0.966, 1.029, 11.945]], "species": ["Mg", "Mg", "Mg", "Mg", "Th", "In", "In"], "frac_coords": [[0.146, 0.146, 0.293], [0.854, 0.854, 0.707], [0.250, 0.750, 0.500], [0.750, 0.250, 0.500], [0.000, 0.000, 0.000], [0.412, 0.412, 0.825], [0.588, 0.588, 0.175]], "vol_a3_per_atom": 25.9, "spacegroup": "I4/mmm", "e_above_lowest_polymorph_mev_per_atom": 206.4, "formation_enthalpy_0k_mev_per_atom": 68, "total_magnetization_mub_per_cell": 0.00}